one.
Computed, not measured: an optimized crystal structure of Nd8Cu2Pt at the GGA-PBE level of DFT.

Cell and atoms, written as extended XYZ:
```
11
Lattice="-0.069 -0.067 -5.184 6.488 -2.342 -0.055 -4.678 -7.653 2.754" Properties=species:S:1:pos:R:3 pbc="T T T"
Nd -0.272 -7.619 0.103
Nd 4.721 -4.855 -2.592
Nd 1.415 -6.178 -2.531
Nd -3.020 -7.732 -2.452
Nd 0.326 -3.884 0.046
Nd -2.980 -5.207 0.107
Nd 2.013 -2.442 -2.588
Nd 4.762 -2.330 -0.033
Cu -1.309 -5.374 -2.506
Cu 3.050 -4.688 0.021
Pt -0.034 -0.034 -2.592
```

=====

two.
Computed, not measured: an optimized crystal structure of Nd8Cu2Pt at the GGA-PBE level of DFT.

Cell and atoms, written as extended XYZ:
```
11
Lattice="6.110 -0.016 -1.078 -2.080 6.999 -3.026 -0.172 -0.208 7.899" Properties=species:S:1:pos:R:3 pbc="T T T"
Nd 2.908 2.442 -0.985
Nd 3.406 0.562 1.864
Nd 0.246 2.494 1.602
Nd 5.422 1.204 4.658
Nd 4.276 5.534 -1.907
Nd 3.429 4.322 2.252
Nd 0.134 6.231 1.989
Nd 0.634 4.342 4.852
Cu 1.491 4.817 -0.164
Cu 2.226 2.044 4.041
Pt 1.156 0.095 -0.139
```

=====

Most stable of them? one.

=====

one.
Computed, not measured: an optimized crystal structure of NdSmCuPt at the GGA-PBE level of DFT.

Cell and atoms, written as extended XYZ:
```
4
Lattice="3.908 0.000 0.000 0.000 4.514 0.000 -1.954 0.000 5.403" Properties=species:S:1:pos:R:3 pbc="T T T"
Nd 1.954 2.257 3.899
Sm 0.000 0.000 1.482
Cu 0.000 0.000 4.587
Pt 1.954 2.257 0.836
```

=====

two.
Computed, not measured: an optimized crystal structure of NdSmCuPt at the GGA-PBE level of DFT.

Cell and atoms, written as extended XYZ:
```
4
Lattice="-1.893 -4.410 -1.621 1.444 -1.885 -4.475 2.955 -4.111 -0.183" Properties=species:S:1:pos:R:3 pbc="T T T"
Cu 1.879 -7.805 -4.709
Nd 1.253 -5.203 -3.139
Sm 0.000 0.000 0.000
Pt 0.626 -2.602 -1.570
```

=====

Most stable of them? one.

=====

one.
Computed, not measured: an optimized crystal structure of NdPuCu2 at the GGA-PBE level of DFT.

Cell and atoms, written as extended XYZ:
```
4
Lattice="3.495 0.000 0.000 0.000 3.495 0.000 0.000 0.000 7.180" Properties=species:S:1:pos:R:3 pbc="T T T"
Nd 1.748 1.748 3.590
Cu 0.000 0.000 5.431
Cu 0.000 0.000 1.749
Pu 1.748 1.748 0.000
```

=====

two.
Computed, not measured: an optimized crystal structure of NdPuCu2 at the GGA-PBE level of DFT.

Cell and atoms, written as extended XYZ:
```
4
Lattice="-0.416 4.776 -1.437 -4.489 1.880 -1.170 -2.178 3.342 3.022" Properties=species:S:1:pos:R:3 pbc="T T T"
Nd -3.542 4.999 0.208
Cu -1.771 2.499 0.104
Cu -5.312 7.498 0.312
Pu 0.000 0.000 0.000
```

=====

Most stable of them? one.